Record 1
# LiAcIn4O8

Crystalline LiAcIn4O8 at its relaxed geometry (PBE, Alexandria via LeMat-Bulk).

abc: 6.7151 6.7151 15.9505
angles: 90.00 90.00 120.00
Last column: nearest neighbours and their distance in Å.
Space group R3m (No. 160, hexagonal axes)
Symmetry-distinct sites (fractional):
Li 0.0000 0.0000 0.0000 [3 per cell]  3 O 2.05
Ac 0.0000 0.0000 0.6269 [3 per cell]  4 O 2.31-2.36
In 0.0000 0.0000 0.3947 [3 per cell]  4 O 2.14-2.16
In 0.0051 0.5026 0.5135 [9 per cell]  6 O 2.16-2.34
O 0.0000 0.0000 0.2593 [3 per cell]  4 In 2.16-2.34
O 0.0000 0.0000 0.7751 [3 per cell]  3 In 2.23, 1 Ac 2.36
O 0.0095 0.5048 0.7761 [9 per cell]  3 In 2.14-2.23
O 0.1923 0.3847 0.5898 [9 per cell]  1 Li 2.05, 2 In 2.16

Summary:
As for the volume: 14.831 Å³ per atom. The value obtained for the spin magnetization is 0.00 Bohr magnetons per cell. The calculation puts the formation energy without anion corrections at -1.85 eV/atom.



Record 2
# ScRhCl

Crystalline ScRhCl at its relaxed geometry (PBE, Alexandria via LeMat-Bulk).

abc: 4.2685 4.2685 3.2159
angles: 90.00 90.00 120.00
Last column: nearest neighbours and their distance in Å.
Space group P3m1 (No. 156)
Symmetry-distinct sites (fractional):
Sc 0.0000 0.0000 0.0000 [1 per cell]  6 Cl 2.94, 6 Rh 2.94, 2 Sc 3.22
Rh 0.3333 0.6667 0.5004 [1 per cell]  3 Cl 2.46
Cl 0.6667 0.3333 0.4988 [1 per cell]  3 Rh 2.46

Summary:
As for the volume: 16.915 Å³ per atom. The value obtained for the spin magnetization is 0.00 Bohr magnetons per cell. The calculation puts the formation energy without anion corrections at -0.58 eV/atom. The energy above the lowest structure with this stoichiometry is 1.10 eV per formula unit.



Record 3
# Ho2AlIn2

Crystalline Ho2AlIn2 at its relaxed geometry (PBE, Alexandria via LeMat-Bulk).

abc: 11.2207 4.5764 10.8377
angles: 90.00 115.70 90.00
Last column: nearest neighbours and their distance in Å.
Space group C2/m (No. 12)
Symmetry-distinct sites (fractional):
Ho 0.0005 0.0000 0.1759 [4 per cell]  6 In 3.14-3.38, 3 Al 3.21-3.31
Ho 0.1792 0.0000 0.6030 [4 per cell]  6 In 3.11-3.39, 2 Al 3.20
Al 0.2121 0.5000 0.8216 [4 per cell]  4 In 2.75-2.96
In 0.0396 0.5000 0.3878 [4 per cell]  1 Al 2.75, 1 In 2.93
In 0.1488 0.5000 0.0595 [4 per cell]  3 Al 2.75-2.96, 1 In 3.01

Summary:
The value obtained for the energy of formation is -0.41 eV per atom. As for the volume: 25.073 Å³ per atom. The value obtained for the spin magnetization is 0.00 Bohr magnetons per cell.



Record 4
# Pr2InTe

Crystalline Pr2InTe at its relaxed geometry (PBE, Alexandria via LeMat-Bulk).

abc: 3.7918 3.7918 8.3933
angles: 90.00 90.00 90.00
Last column: nearest neighbours and their distance in Å.
Space group P4/mmm (No. 123)
Symmetry-distinct sites (fractional):
Pr 0.0000 0.0000 0.2404 [2 per cell]  4 Te 3.36, 4 In 3.45
In 0.5000 0.5000 0.5000 [1 per cell]  8 Pr 3.45, 4 In 3.79
Te 0.5000 0.5000 0.0000 [1 per cell]  8 Pr 3.36

Summary:
As for the volume: 30.169 Å³ per atom. The value obtained for the spin magnetization is 0.00 Bohr magnetons per cell. The calculation puts the formation energy without anion corrections at -0.84 eV/atom. The energy above the lowest structure with this stoichiometry is 0.59 eV per formula unit.



Record 5
# Tb2AlGa3Ir4

Crystalline Tb2AlGa3Ir4 at its relaxed geometry (PBE, Alexandria via LeMat-Bulk).

abc: 4.2139 4.2139 10.3371
angles: 90.00 90.00 90.00
Last column: nearest neighbours and their distance in Å.
Space group P-4m2 (No. 115)
Symmetry-distinct sites (fractional):
Tb 0.0000 0.5000 0.2339 [2 per cell]  6 Ga 3.17-3.47, 8 Ir 3.21-3.28, 2 Al 3.47
Al 0.0000 0.0000 0.5000 [1 per cell]  4 Ir 2.52
Ga 0.0000 0.5000 0.8717 [2 per cell]  5 Ir 2.46-2.49
Ga 0.5000 0.5000 0.5000 [1 per cell]  4 Ir 2.52
Ir 0.0000 0.0000 0.0000 [1 per cell]  4 Ga 2.49
Ir 0.0000 0.5000 0.6338 [2 per cell]  3 Ga 2.46-2.52, 2 Al 2.52
Ir 0.5000 0.5000 0.0000 [1 per cell]  4 Ga 2.49

Summary:
The value obtained for the energy of formation is -0.76 eV per atom. As for the volume: 18.356 Å³ per atom. The value obtained for the spin magnetization is 0.00 Bohr magnetons per cell.



Record 6
# InB2P

Crystalline InB2P at its relaxed geometry (PBE, Alexandria via LeMat-Bulk).

abc: 5.1266 5.1266 9.0498
angles: 90.00 90.00 90.00
Last column: nearest neighbours and their distance in Å.
Space group I-42d (No. 122)
Symmetry-distinct sites (fractional):
In 0.0000 0.0000 0.0000 [4 per cell]  4 B 2.36
B 0.1819 0.2500 0.6250 [8 per cell]  2 P 1.95
P 0.0000 0.0000 0.5000 [4 per cell]  4 B 1.95

Summary:
The value obtained for the energy of formation is 0.43 eV per atom. As for the volume: 14.866 Å³ per atom. The value obtained for the spin magnetization is 0.00 Bohr magnetons per cell. The energy above the lowest structure with this stoichiometry is 0.00 eV per formula unit.



Record 7
# Ca4RhSe

Crystalline Ca4RhSe at its relaxed geometry (PBE, Alexandria via LeMat-Bulk).

abc: 8.8135 8.8135 8.8135
angles: 90.00 90.00 90.00
Last column: nearest neighbours and their distance in Å.
Space group F-43m (No. 216)
Symmetry-distinct sites (fractional):
Ca 0.1243 0.1243 0.1243 [16 per cell]  6 Ca 3.10-3.13
Rh 0.2500 0.2500 0.7500 [4 per cell]  12 Ca 3.65, 4 Se 3.82
Se 0.0000 0.0000 0.5000 [4 per cell]  12 Ca 3.66, 4 Rh 3.82

Summary:
As for the volume: 28.525 Å³ per atom. The value obtained for the spin magnetization is 0.00 Bohr magnetons per cell. The calculation puts the formation energy without anion corrections at 0.32 eV/atom.



Record 8
# K2NaYBr6

Crystalline K2NaYBr6 at its relaxed geometry (PBE, Alexandria via LeMat-Bulk).

abc: 11.3419 11.3419 11.3419
angles: 90.00 90.00 90.00
Last column: nearest neighbours and their distance in Å.
Space group Fm-3m (No. 225)
Symmetry-distinct sites (fractional):
K 0.2500 0.2500 0.2500 [8 per cell]  12 Br 4.01
Na 0.0000 0.0000 0.0000 [4 per cell]  6 Br 2.89
Y 0.0000 0.0000 0.5000 [4 per cell]  6 Br 2.79
Br 0.0000 0.0000 0.2544 [24 per cell]  1 Y 2.79, 1 Na 2.89

Summary:
As for the volume: 36.475 Å³ per atom. The value obtained for the spin magnetization is 0.00 Bohr magnetons per cell. The calculation puts the formation energy without anion corrections at -1.74 eV/atom.



Record 9
# AcS2O8F

Crystalline AcS2O8F at its relaxed geometry (PBE, Alexandria via LeMat-Bulk).

abc: 10.4081 6.6701 4.9081
angles: 90.00 109.72 90.00
Last column: nearest neighbours and their distance in Å.
Space group C2/m (No. 12)
Symmetry-distinct sites (fractional):
Ac 0.0000 0.0000 0.0000 [2 per cell]  6 O 2.55-2.72
S 0.2022 0.5000 0.2866 [4 per cell]  4 O 1.46-1.54
O 0.1429 0.3184 0.1271 [8 per cell]  1 S 1.46
O 0.1446 0.0000 0.6307 [4 per cell]  1 S 1.51
O 0.1854 0.5000 0.5856 [4 per cell]  1 S 1.54
F 0.0000 0.5000 0.5000 [2 per cell]  2 O 1.83

Summary:
As for the volume: 13.365 Å³ per atom. The value obtained for the spin magnetization is 0.00 Bohr magnetons per cell. The calculation puts the formation energy without anion corrections at -1.66 eV/atom.



Record 10
# Na2PmH8Rh

Crystalline Na2PmH8Rh at its relaxed geometry (PBE, Alexandria via LeMat-Bulk).

abc: 4.7774 4.7774 6.2217
angles: 90.00 90.00 120.00
Last column: nearest neighbours and their distance in Å.
Space group P-3m1 (No. 164)
Symmetry-distinct sites (fractional):
Na 0.3333 0.6667 0.3634 [2 per cell]  10 H 2.20-2.40
Pm 0.0000 0.0000 0.0000 [1 per cell]  6 H 2.46
H 0.1583 0.3165 0.6662 [6 per cell]  1 Rh 1.67
H 0.3333 0.6667 0.0090 [2 per cell]  1 Na 2.20
Rh 0.0000 0.0000 0.5000 [1 per cell]  6 H 1.67

Summary:
As for the volume: 10.248 Å³ per atom. The calculation puts the total energy at -3.787 eV per atom. The value obtained for the spin magnetization is 0.00 Bohr magnetons per cell.



Record 11
# KLiPb2

Crystalline KLiPb2 at its relaxed geometry (PBE, Alexandria via LeMat-Bulk).

abc: 4.8821 4.8821 10.2395
angles: 90.00 90.00 90.00
Last column: nearest neighbours and their distance in Å.
Space group I4/mmm (No. 139)
Symmetry-distinct sites (fractional):
K 0.0000 0.0000 0.0000 [2 per cell]  4 Li 3.45, 8 Pb 3.54
Li 0.0000 0.0000 0.5000 [2 per cell]  4 K 3.45, 8 Pb 3.54
Pb 0.0000 0.5000 0.2500 [4 per cell]  4 Pb 3.45, 4 K 3.54, 4 Li 3.54

Summary:
The value obtained for the energy of formation is -0.04 eV per atom. As for the volume: 30.508 Å³ per atom. The value obtained for the spin magnetization is 0.00 Bohr magnetons per cell. The energy above the lowest structure with this stoichiometry is 0.75 eV per formula unit.



Record 12
# Sr2TmHg

Crystalline Sr2TmHg at its relaxed geometry (PBE, Alexandria via LeMat-Bulk).

abc: 3.8316 3.8316 36.2598
angles: 90.00 90.00 120.00
Last column: nearest neighbours and their distance in Å.
Space group R-3m (No. 166, hexagonal axes)
Symmetry-distinct sites (fractional):
Sr 0.0000 0.0000 0.0978 [6 per cell]  3 Hg 3.34, 1 Tm 3.55
Tm 0.0000 0.0000 0.0000 [3 per cell]  2 Sr 3.55, 6 Tm 3.83
Hg 0.0000 0.0000 0.5000 [3 per cell]  6 Sr 3.34

Summary:
The value obtained for the energy of formation is 0.15 eV per atom. As for the volume: 38.418 Å³ per atom. The value obtained for the spin magnetization is 1.24 Bohr magnetons per cell. The energy above the lowest structure with this stoichiometry is 0.96 eV per formula unit.